GdHfSc | PBE | relaxed

Results
* formation enthalpy at 0 K: 113 meV/atom
* magnetic moment: 7.21 μB/f.u.

Structure (CIF):
```
data_GdHfSc
_symmetry_space_group_name_H-M 'P 3 m 1'
_symmetry_Int_Tables_number 156
_cell_length_a 3.3014
_cell_length_b 3.3014
_cell_length_c 8.1613
_cell_angle_alpha 90.00
_cell_angle_beta 90.00
_cell_angle_gamma 120.00
loop_
_symmetry_equiv_pos_as_xyz
'x,y,z'
'-y,x-y,z'
'-x+y,-x,z'
'-y,-x,z'
'-x+y,y,z'
'x,x-y,z'
loop_
_atom_site_label
_atom_site_type_symbol
_atom_site_fract_x
_atom_site_fract_y
_atom_site_fract_z
_atom_site_occupancy
Gd1 Gd 0.0000 0.0000 0.0000 1
Hf1 Hf 0.6667 0.3333 0.3288 1
Sc1 Sc 0.3333 0.6667 0.6340 1
```